The following is a DFT calculation (PBE-GGA) of crystalline Sr3Si2Pt at its relaxed geometry.

Cell lengths 6.257, 11.000, 10.457 Å; angles 90.00, 106.90, 90.00 degrees
Element x y z (fractional)
1 Sr 0.164 0.233 0.342
2 Sr 0.164 0.267 0.842
3 Sr 0.229 0.613 0.974
4 Sr 0.229 0.887 0.474
5 Sr 0.301 0.528 0.613
6 Sr 0.301 0.972 0.113
7 Sr 0.699 0.028 0.887
8 Sr 0.699 0.472 0.387
9 Sr 0.771 0.113 0.526
10 Sr 0.771 0.387 0.026
11 Sr 0.836 0.733 0.158
12 Sr 0.836 0.767 0.658
13 Si 0.174 0.515 0.273
14 Si 0.174 0.985 0.773
15 Si 0.338 0.137 0.637
16 Si 0.338 0.363 0.137
17 Si 0.662 0.637 0.863
18 Si 0.662 0.863 0.363
19 Si 0.826 0.015 0.227
20 Si 0.826 0.485 0.727
21 Pt 0.386 0.705 0.280
22 Pt 0.386 0.795 0.780
23 Pt 0.614 0.205 0.220
24 Pt 0.614 0.295 0.720

Calculated total energy: -4.254 eV per atom
Energy relative to the elements, uncorrected: -0.599 eV per atom
Crystal system: monoclinic
Total moment: 0.0 μB/f.u.

***

The following is a DFT calculation (PBE-GGA) of crystalline Sr2Si2Pt at its relaxed geometry.

Cell lengths 6.720, 6.720, 4.970 Å; angles 90.00, 90.00, 90.00 degrees
Element x y z (fractional)
1 Sr 0.172 0.328 0.000
2 Sr 0.328 0.828 0.000
3 Sr 0.672 0.172 0.000
4 Sr 0.828 0.672 0.000
5 Si 0.133 0.633 0.500
6 Si 0.367 0.133 0.500
7 Si 0.633 0.867 0.500
8 Si 0.867 0.367 0.500
9 Pt 0.000 0.000 0.500
10 Pt 0.500 0.500 0.500

Calculated total energy: -4.603 eV per atom
Energy relative to the elements, uncorrected: -0.553 eV per atom
ΔE to the lowest computed polymorph: 0.014 eV/atom
Crystal system: tetragonal
Total moment: 0.0 μB/f.u.